[1]
The following is a PBE calculation of an optimized crystal structure of Rb2BiCl2, from Alexandria via LeMat-Bulk.

Cell and atoms, written as extended XYZ:
```
10
Lattice="9.935 0.000 0.000 0.000 9.935 0.000 0.000 0.000 3.480" Properties=species:S:1:pos:R:3 pbc="T T T"
Cl 3.504 1.463 1.740
Cl 1.463 6.430 1.740
Cl 8.472 3.504 1.740
Cl 6.430 8.472 1.740
Rb 1.408 3.560 0.000
Rb 6.375 1.408 0.000
Rb 3.560 8.527 0.000
Rb 8.527 6.375 0.000
Bi 4.967 4.967 0.000
Bi 0.000 0.000 0.000
```

Offset from the most stable computed form   0 meV per atom
Uncorrected energy   -28.86 eV for the cell shown
Raw formation energy   -0.984 eV/atom

---

[2]
The following is a PBE calculation of an optimized crystal structure of TeSe2I, from Alexandria via LeMat-Bulk.

Cell and atoms, written as extended XYZ:
```
4
Lattice="-8.249 2.631 2.756 -8.296 -1.640 3.325 -6.492 0.909 6.293" Properties=species:S:1:pos:R:3 pbc="T T T"
Se -2.476 0.204 1.330
Se -20.561 1.696 11.043
Te -11.519 0.950 6.187
I 0.000 0.000 0.000
```

Offset from the most stable computed form   10 meV per atom
Uncorrected energy   -11.30 eV for the cell shown
Raw formation energy   0.090 eV/atom

---

[3]
The following is a PBE calculation of an optimized crystal structure of PrEr4Pd5, from Alexandria via LeMat-Bulk.

Cell and atoms, written as extended XYZ:
```
10
Lattice="-2.317 1.770 1.884 -2.421 -2.372 -0.748 4.682 -9.373 14.564" Properties=species:S:1:pos:R:3 pbc="T T T"
Pd 1.770 -8.587 13.443
Pd -0.028 -4.988 7.850
Pd -1.826 -1.388 2.256
Pd 0.885 -6.815 10.689
Pd -0.941 -3.160 5.010
Er 0.967 -1.936 3.008
Er 1.884 -3.773 5.862
Er 2.797 -5.600 8.702
Er 3.715 -7.437 11.556
Pr 0.000 0.000 0.000
```

Uncorrected energy   -57.76 eV for the cell shown
Energy of formation from the pure elements   -0.877 eV/atom

---

[4]
The following is a PBE calculation of an optimized crystal structure of CsCuH2, from Alexandria via LeMat-Bulk.

Cell and atoms, written as extended XYZ:
```
8
Lattice="-3.967 -0.565 -4.084 3.482 -3.492 -2.900 -1.807 -5.216 -1.532" Properties=species:S:1:pos:R:3 pbc="T T T"
H -1.502 -1.952 -2.274
H -2.652 -6.587 -6.533
H 0.235 -3.699 -3.729
H -0.664 -6.309 -4.495
Cu -0.242 -2.028 -3.492
Cu 0.717 -5.368 -3.962
Cs -3.008 -3.905 -4.554
Cs 0.000 0.000 0.000
```

Offset from the most stable computed form   17 meV per atom
Uncorrected energy   -23.82 eV for the cell shown

---

[5]
The following is a PBE calculation of an optimized crystal structure of Sb2PdIBr, from Alexandria via LeMat-Bulk.

Cell and atoms, written as extended XYZ:
```
5
Lattice="5.297 0.000 0.000 0.000 5.297 0.000 0.000 0.000 5.491" Properties=species:S:1:pos:R:3 pbc="T T T"
I 0.000 0.000 2.746
Sb 0.000 2.649 0.000
Sb 2.649 0.000 0.000
Br 2.649 2.649 2.746
Pd 0.000 0.000 0.000
```

Offset from the most stable computed form   0 meV per atom
Uncorrected energy   -15.55 eV for the cell shown
Raw formation energy   0.223 eV/atom

---

[6]
The following is a PBE calculation of an optimized crystal structure of K2RbZnHg, from Alexandria via LeMat-Bulk.

Cell and atoms, written as extended XYZ:
```
5
Lattice="6.637 0.000 0.000 0.000 6.637 0.000 0.000 0.000 5.707" Properties=species:S:1:pos:R:3 pbc="T T T"
Hg 0.000 0.000 2.854
K 0.000 3.319 0.000
K 3.319 0.000 0.000
Zn 0.000 0.000 0.000
Rb 3.319 3.319 2.854
```

Offset from the most stable computed form   17 meV per atom
Uncorrected energy   -4.53 eV for the cell shown
Energy of formation from the pure elements   0.041 eV/atom

---

[7]
The following is a PBE calculation of an optimized crystal structure of PmNbBi2, from Alexandria via LeMat-Bulk.

Cell and atoms, written as extended XYZ:
```
4
Lattice="5.253 0.000 0.000 2.627 4.550 0.000 2.627 1.517 4.289" Properties=species:S:1:pos:R:3 pbc="T T T"
Bi 7.880 4.550 3.217
Bi 2.627 1.517 1.072
Pm 5.253 3.033 2.145
Nb 0.000 0.000 0.000
```

Offset from the most stable computed form   67 meV per atom
Uncorrected energy   -23.01 eV for the cell shown
Energy of formation from the pure elements   -0.107 eV/atom

---

[8]
The following is a PBE calculation of an optimized crystal structure of PrReGe4, from Alexandria via LeMat-Bulk.

Cell and atoms, written as extended XYZ:
```
12
Lattice="-1.521 6.210 0.732 -5.000 -1.740 4.393 4.792 -2.598 3.706" Properties=species:S:1:pos:R:3 pbc="T T T"
Ge -1.427 -0.186 4.952
Ge -0.302 2.058 3.879
Ge 0.842 -1.361 6.149
Ge 1.404 -0.699 2.596
Ge -4.688 0.788 4.692
Ge -3.133 2.571 6.235
Ge 2.959 1.084 4.138
Ge -2.571 3.233 2.682
Re 1.635 1.806 2.219
Re -0.104 -2.169 4.050
Pr -5.120 4.302 3.960
Pr 3.391 -2.430 4.871
```

Uncorrected energy   -73.11 eV for the cell shown
Energy of formation from the pure elements   -0.143 eV/atom

---

[9]
The following is a PBE calculation of an optimized crystal structure of Sc8InTc2, from Alexandria via LeMat-Bulk.

Cell and atoms, written as extended XYZ:
```
11
Lattice="4.780 0.062 -1.432 -0.844 5.891 -2.560 -0.084 0.055 8.418" Properties=species:S:1:pos:R:3 pbc="T T T"
Sc 0.884 5.103 0.011
Sc 0.128 3.157 6.097
Sc 1.841 4.279 3.171
Sc 4.027 2.713 1.705
Sc 4.550 0.175 3.336
Sc 1.150 2.150 0.775
Sc 2.775 5.565 -2.352
Sc 2.744 1.672 6.070
In -0.243 5.769 4.974
Tc 1.959 1.758 3.459
Tc 3.298 3.712 -0.685
```

Uncorrected energy   -76.33 eV for the cell shown
Energy of formation from the pure elements   -0.201 eV/atom